This record from the Alexandria database describes a relaxed structure of BeWNF2. The functional is GGA+U.

Output
Symmetry: P4/mmm, No. 123
Total magnetic moment in μB/f.u.: 2.2
Total DFT energy (no corrections) in eV per cell: -25.2
Crystal system: tetragonal

abc: 4.218 4.218 4.029
angles: 90.00 90.00 90.00
Positions (direct):
F1 0.500 0.000 0.000
F2 0.000 0.500 0.000
Be1 0.500 0.500 0.500
W1 0.000 0.000 0.000
N1 0.000 0.000 0.500